[1]
Below is crystalline CaSb2W at its relaxed geometry, with properties calculated at the GGA-PBE level.

Properties
The space-group type is P4/mmm (123). The calculation puts the uncorrected formation energy at 358.3 meV per atom. Its total energy is -5.44 eV/atom. Its density of states at the Fermi level is 1.128 states/eV/atom. The calculation puts the energy above the most stable polymorph in this dataset at 395 meV/atom.

Cell lengths 3.641, 4.949, 4.949 Å; angles 90.00, 90.00, 90.00 degrees
Positions (direct):
Sb  0.000  0.000  0.000
Sb  0.000  0.500  0.500
W  0.500  0.500  0.000
Ca  0.500  0.000  0.500

---

[2]
Below is crystalline CaSb2W at its relaxed geometry, with properties calculated at the GGA-PBE level.

Properties
The space-group type is P4/mmm (123). The calculation puts the uncorrected formation energy at -36.8 meV per atom. Its total energy is -5.84 eV/atom. Its density of states at the Fermi level is 0.465 states/eV/atom. The calculation puts the energy above the most stable polymorph in this dataset at 0 meV/atom.

Cell lengths 3.432, 3.430, 8.492 Å; angles 66.20, 90.00, 90.00 degrees
Positions (direct):
Sb  0.000  0.545  0.455
W  0.500  0.250  0.250
Ca  0.500  0.750  0.750
Sb  0.000  0.955  0.045

---

[3]
Below is crystalline CaSbW at its relaxed geometry, with properties calculated at the GGA-PBE level.

Properties
The space-group type is Fmm2 (42). The calculation puts the uncorrected formation energy at 516.0 meV per atom. Its total energy is -5.84 eV/atom. Its density of states at the Fermi level is 0.961 states/eV/atom. The calculation puts the energy above the most stable polymorph in this dataset at 234 meV/atom.

Cell lengths 7.375, 7.218, 3.191 Å; angles 80.14, 74.63, 25.23 degrees
Positions (direct):
Sb  0.315  0.315  0.685
W  0.678  0.678  0.322
Ca  0.007  0.007  0.993

---

[4]
Below is crystalline Ca2SbW at its relaxed geometry, with properties calculated at the GGA-PBE level.

Properties
The space-group type is I-4m2 (119). The calculation puts the uncorrected formation energy at 452.4 meV per atom. Its total energy is -4.82 eV/atom. Its density of states at the Fermi level is 1.084 states/eV/atom.

Cell lengths 5.562, 5.562, 5.562 Å; angles 131.42, 131.42, 71.15 degrees
Positions (direct):
Ca  0.000  0.000  0.000
W  0.750  0.250  0.500
Sb  0.500  0.500  0.000
Ca  0.250  0.750  0.500

---

[5]
Below is crystalline CaSb2W at its relaxed geometry, with properties calculated at the GGA-PBE level.

Properties
The space-group type is Cmmm (65). The calculation puts the uncorrected formation energy at 334.7 meV per atom. Its total energy is -5.47 eV/atom. Its density of states at the Fermi level is 0.893 states/eV/atom. The calculation puts the energy above the most stable polymorph in this dataset at 372 meV/atom.

Cell lengths 4.999, 4.999, 3.609 Å; angles 90.00, 90.00, 98.96 degrees
Positions (direct):
Ca  0.000  0.500  0.500
Sb  0.000  0.000  0.000
W  0.500  0.000  0.500
Sb  0.500  0.500  0.000

---

[6]
Below is crystalline CaSb2W at its relaxed geometry, with properties calculated at the GGA-PBE level.

Properties
The space-group type is Cmm2 (35). The calculation puts the uncorrected formation energy at 338.6 meV per atom. Its total energy is -5.46 eV/atom. Its density of states at the Fermi level is 0.401 states/eV/atom. The calculation puts the energy above the most stable polymorph in this dataset at 375 meV/atom.

Cell lengths 3.079, 3.079, 10.951 Å; angles 90.00, 90.00, 101.30 degrees
Positions (direct):
Sb  0.500  0.500  0.312
W  0.000  0.000  0.499
Ca  0.500  0.500  0.724
Sb  0.000  0.000  0.965

---

[7]
Below is crystalline CaSbW at its relaxed geometry, with properties calculated at the GGA-PBE level.

Properties
The space-group type is F-43m (216). The calculation puts the uncorrected formation energy at 693.3 meV per atom. Its total energy is -5.67 eV/atom. Its density of states at the Fermi level is 1.463 states/eV/atom. The calculation puts the energy above the most stable polymorph in this dataset at 412 meV/atom.

Cell lengths 4.728, 4.728, 4.728 Å; angles 60.00, 60.00, 60.00 degrees
Site moments in Bohr magnetons follow the coordinates.
Positions (direct):
Ca  0.500  0.500  0.500  0.00
W  0.000  0.000  0.000  0.46
Sb  0.750  0.750  0.750  -0.02

---

[8]
Below is crystalline CaSb2W at its relaxed geometry, with properties calculated at the GGA-PBE level.

Properties
The space-group type is I-42d (122). The calculation puts the uncorrected formation energy at 298.2 meV per atom. Its total energy is -5.50 eV/atom. Its density of states at the Fermi level is 0.715 states/eV/atom. The calculation puts the energy above the most stable polymorph in this dataset at 335 meV/atom.

Cell lengths 7.915, 7.915, 6.549 Å; angles 52.82, 52.82, 90.00 degrees
Positions (direct):
W  0.000  0.000  0.000
Ca  0.500  0.500  0.000
Ca  0.250  0.750  0.500
Sb  0.671  0.125  0.250
W  0.750  0.250  0.500
Sb  0.875  0.921  0.750
Sb  0.079  0.625  0.250
Sb  0.375  0.329  0.750